! GGA-PBE TlTcP2, optimized geometry; values from VASP
! Relative energy among the computed polymorphs (meV/atom): 324
! ΔE_f (eV per formula unit): 0.98
! Space group: No. 10
! DOS(E_F) (states/eV/cell): 3.507
&SYSTEM
  ibrav = 0, nat = 4, ntyp = 3
/
ATOMIC_SPECIES
Tl 204.38 Tl.upf
Tc 98.00 Tc.upf
P 30.97 P.upf
ATOMIC_POSITIONS crystal
Tl 0.000 0.000 0.000
Tc 0.500 0.000 0.500
P 0.295 0.500 0.635
P 0.705 0.500 0.365
CELL_PARAMETERS angstrom
3.498 0.000 0.000
0.000 4.366 0.000
-1.178 0.000 5.155